# 1
Mg2HgH | GGA-PBE | relaxed

Geometry as extended XYZ:
```
4
Lattice="1.824 -3.952 1.724 -1.175 -1.441 4.296 -2.703 -3.784 0.542" Properties=species:S:1:pos:R:3 pbc="T T T"
H 0.000 0.000 0.000
Mg -0.514 -2.294 1.640
Mg -1.541 -6.883 4.921
Hg -1.027 -4.588 3.281
```

Properties
The value obtained for the size of the total moment is 0.00 μB per formula unit. The value obtained for the density of states at the Fermi level is 1.79 states/eV per cell. As for the excess energy over the best structure of this formula in the dataset: 1.000 eV/f.u. As for the space-group type: Fm-3m, No. 225. For the calculated total energy, the calculation gives -1.50 eV/atom.

---

# 2
SrAc5Tl4 | GGA-PBE | relaxed

Geometry as extended XYZ:
```
10
Lattice="4.102 0.000 0.000 0.000 4.102 0.000 0.000 0.000 22.861" Properties=species:S:1:pos:R:3 pbc="T T T"
Tl 0.000 0.000 5.105
Tl 0.000 0.000 17.756
Tl 0.000 0.000 13.525
Tl 0.000 0.000 9.336
Ac 2.051 2.051 15.647
Ac 2.051 2.051 19.784
Ac 2.051 2.051 3.077
Ac 2.051 2.051 7.214
Ac 2.051 2.051 11.430
Sr 0.000 0.000 0.000
```

Properties
The value obtained for the size of the total moment is 0.00 μB per formula unit. The value obtained for the density of states at the Fermi level is 12.39 states/eV per cell. Its formation energy is -256 meV/atom. As for the space-group type: P4/mmm, No. 123. For the calculated total energy, the calculation gives -3.42 eV/atom.

---

# 3
Nd3Er2Th2 | GGA-PBE | relaxed

Geometry as extended XYZ:
```
7
Lattice="3.498 0.607 -0.625 0.656 6.108 -0.821 -2.667 -4.449 11.938" Properties=species:S:1:pos:R:3 pbc="T T T"
Nd 0.000 0.000 0.000
Nd 1.165 -0.316 6.180
Nd 0.322 2.583 4.312
Er -0.004 -0.871 9.529
Er 1.490 3.137 0.963
Th 2.329 0.105 2.732
Th -0.842 2.162 7.760
```

Properties
The value obtained for the size of the total moment is 0.00 μB per formula unit. The value obtained for the density of states at the Fermi level is 10.30 states/eV per cell. Its formation energy is 55 meV/atom. As for the space-group type: P-1, No. 2. For the calculated total energy, the calculation gives -5.41 eV/atom.

---

# 4
KCaBe2H8 | GGA-PBE | relaxed

Geometry as extended XYZ:
```
12
Lattice="-0.797 3.786 1.898 1.014 -3.439 2.392 8.239 2.026 -0.580" Properties=species:S:1:pos:R:3 pbc="T T T"
H 3.535 -0.947 1.024
H 3.638 -0.779 3.084
H 3.151 0.871 1.934
H 5.304 1.502 1.776
H 0.843 1.633 1.990
H 7.612 0.740 1.721
H 4.817 3.152 0.626
H 4.921 3.321 2.687
Be 6.249 0.405 1.817
Be 2.206 1.968 1.894
K 0.000 0.000 0.000
Ca 4.119 1.013 -0.290
```

Properties
The value obtained for the size of the total moment is 0.40 μB per formula unit. The value obtained for the density of states at the Fermi level is 4.07 states/eV per cell. As for the space-group type: P-3m1, No. 164. For the calculated total energy, the calculation gives -3.18 eV/atom.

---

# 5
TmBeCdCu | GGA-PBE | relaxed

Geometry as extended XYZ:
```
4
Lattice="-4.137 1.966 0.156 -3.747 -2.467 -0.936 -2.927 -1.084 3.355" Properties=species:S:1:pos:R:3 pbc="T T T"
Cu 0.000 0.000 0.000
Be -5.405 -0.792 1.288
Tm -8.108 -1.188 1.931
Cd -2.703 -0.396 0.644
```

Properties
The value obtained for the size of the total moment is 0.00 μB per formula unit. The value obtained for the density of states at the Fermi level is 2.43 states/eV per cell. Its formation energy is -61 meV/atom. As for the space-group type: F-43m, No. 216. For the calculated total energy, the calculation gives -3.36 eV/atom.

---

# 6
ThBi2P2Pt7 | GGA-PBE | relaxed

Geometry as extended XYZ:
```
12
Lattice="4.072 -0.005 -0.007 0.000 4.072 -0.007 2.056 2.053 14.960" Properties=species:S:1:pos:R:3 pbc="T T T"
Th 0.000 0.000 0.000
Pt 4.082 4.077 9.114
Pt 4.089 2.048 12.677
Pt 2.053 4.086 12.677
Pt 4.075 2.035 2.269
Pt 2.040 4.073 2.269
Pt 2.036 2.034 -0.007
Pt 2.046 2.044 5.832
P 2.041 2.039 3.555
P 4.087 4.082 11.391
Bi 2.046 2.044 8.651
Bi 4.082 4.078 6.295
```

Properties
The value obtained for the size of the total moment is 0.00 μB per formula unit. The value obtained for the density of states at the Fermi level is 3.74 states/eV per cell. Its formation energy is -639 meV/atom. As for the space-group type: I4/mmm, No. 139. For the calculated total energy, the calculation gives -6.33 eV/atom.